4
Lattice="5.4071 0.0078 0.0000 2.2534 4.9152 0.0000 -3.8303 -2.4615 2.9167" Properties=species:S:1:pos:R:3 comment="Zr2MoAu, optimized geometry, DFT PBE-GGA" n_ef_per_ev_cell=3.60 final_energy_ev_per_atom=-7.903 space_group="I-4m2, No. 119" relative_energy_mev_per_atom=240.2 pbc="T T T"
Zr 0.0000 0.0000 0.0000
Zr 1.1267 2.4576 1.4583
Au 3.8303 2.4615 0.0000
Mo 2.7036 0.0039 1.4583